A plane-wave DFT calculation with GGA-PBEsol was carried out for a relaxed CoH18CN6ClO3 crystal.

Values from the calculation:
Calculated volume ... 7.9 Å³ per atom
E_tot ... -5.506 eV/atom
DOS at the Fermi energy ... 0.00 states/eV per atom

a = 9.814 Å, b = 9.814 Å, c = 9.814 Å
α = 90.00°, β = 90.00°, γ = 90.00°
Fractional positions:
1 Co 0.014 0.486 0.514
2 Co 0.486 0.514 0.014
3 Co 0.514 0.014 0.486
4 Co 0.986 0.986 0.986
5 H 0.032 0.712 0.397
6 H 0.042 0.379 0.284
7 H 0.049 0.550 0.270
8 H 0.050 0.230 0.951
9 H 0.054 0.055 0.750
10 H 0.055 0.750 0.054
11 H 0.063 0.426 0.763
12 H 0.074 0.237 0.563
13 H 0.083 0.775 0.888
14 H 0.103 0.968 0.212
15 H 0.112 0.583 0.725
16 H 0.121 0.716 0.542
17 H 0.212 0.103 0.968
18 H 0.216 0.958 0.879
19 H 0.225 0.388 0.417
20 H 0.230 0.951 0.050
21 H 0.237 0.563 0.074
22 H 0.250 0.446 0.945
23 H 0.250 0.554 0.445
24 H 0.263 0.437 0.574
25 H 0.270 0.049 0.550
26 H 0.275 0.612 0.917
27 H 0.284 0.042 0.379
28 H 0.288 0.897 0.468
29 H 0.379 0.284 0.042
30 H 0.388 0.417 0.225
31 H 0.397 0.032 0.712
32 H 0.417 0.225 0.388
33 H 0.426 0.763 0.063
34 H 0.437 0.574 0.263
35 H 0.445 0.250 0.554
36 H 0.446 0.945 0.250
37 H 0.450 0.770 0.451
38 H 0.451 0.450 0.770
39 H 0.458 0.621 0.784
40 H 0.468 0.288 0.897
41 H 0.532 0.788 0.603
42 H 0.542 0.121 0.716
43 H 0.549 0.950 0.730
44 H 0.550 0.270 0.049
45 H 0.554 0.445 0.250
46 H 0.555 0.750 0.946
47 H 0.563 0.074 0.237
48 H 0.574 0.263 0.437
49 H 0.583 0.725 0.112
50 H 0.603 0.532 0.788
51 H 0.612 0.917 0.275
52 H 0.621 0.784 0.458
53 H 0.712 0.397 0.032
54 H 0.716 0.542 0.121
55 H 0.725 0.112 0.583
56 H 0.730 0.549 0.950
57 H 0.737 0.937 0.926
58 H 0.750 0.054 0.055
59 H 0.750 0.946 0.555
60 H 0.763 0.063 0.426
61 H 0.770 0.451 0.450
62 H 0.775 0.888 0.083
63 H 0.784 0.458 0.621
64 H 0.788 0.603 0.532
65 H 0.879 0.216 0.958
66 H 0.888 0.083 0.775
67 H 0.897 0.468 0.288
68 H 0.917 0.275 0.612
69 H 0.926 0.737 0.937
70 H 0.937 0.926 0.737
71 H 0.945 0.250 0.446
72 H 0.946 0.555 0.750
73 H 0.950 0.730 0.549
74 H 0.951 0.050 0.230
75 H 0.958 0.879 0.216
76 H 0.968 0.212 0.103
77 C 0.249 0.251 0.749
78 C 0.251 0.749 0.249
79 C 0.749 0.249 0.251
80 C 0.751 0.751 0.751
81 N 0.002 0.969 0.182
82 N 0.012 0.791 0.965
83 N 0.031 0.682 0.498
84 N 0.035 0.512 0.709
85 N 0.182 0.002 0.969
86 N 0.209 0.465 0.488
87 N 0.291 0.535 0.988
88 N 0.318 0.998 0.469
89 N 0.465 0.488 0.209
90 N 0.469 0.318 0.998
91 N 0.488 0.209 0.465
92 N 0.498 0.031 0.682
93 N 0.502 0.531 0.818
94 N 0.512 0.709 0.035
95 N 0.531 0.818 0.502
96 N 0.535 0.988 0.291
97 N 0.682 0.498 0.031
98 N 0.709 0.035 0.512
99 N 0.791 0.965 0.012
100 N 0.818 0.502 0.531
101 N 0.965 0.012 0.791
102 N 0.969 0.182 0.002
103 N 0.988 0.291 0.535
104 N 0.998 0.469 0.318
105 Cl 0.237 0.237 0.237
106 Cl 0.263 0.763 0.737
107 Cl 0.737 0.263 0.763
108 Cl 0.763 0.737 0.263
109 O 0.143 0.688 0.203
110 O 0.188 0.297 0.857
111 O 0.203 0.143 0.688
112 O 0.297 0.857 0.188
113 O 0.312 0.703 0.357
114 O 0.357 0.312 0.703
115 O 0.643 0.812 0.797
116 O 0.688 0.203 0.143
117 O 0.703 0.357 0.312
118 O 0.797 0.643 0.812
119 O 0.812 0.797 0.643
120 O 0.857 0.188 0.297